<one>
First-principles (PBE) data for a relaxed Nb2FePd crystal, as listed in Alexandria.

Output
DOS at the Fermi energy in states/eV/atom: 1.01

Cell lengths 2.831, 2.831, 9.612 Å; angles 81.53, 81.53, 60.00 degrees
Each line ends with the local moment (μB).
Fractional positions:
Fe 0.500 0.500 0.500  1.52
Nb 0.908 0.908 0.277  -0.14
Nb 0.092 0.092 0.723  -0.14
Pd 0.000 0.000 0.000  -0.03


<two>
First-principles (PBE) data for a relaxed Nb2FePd crystal, as listed in Alexandria.

Output
DOS at the Fermi energy in states/eV/atom: 1.16

Cell lengths 4.000, 3.970, 3.970 Å; angles 90.00, 90.00, 90.00 degrees
Each line ends with the local moment (μB).
Fractional positions:
Nb 0.000 0.500 0.000  -0.19
Nb 0.000 0.000 0.500  -0.19
Pd 0.500 0.500 0.500  -0.03
Fe 0.500 0.000 0.000  2.01


Name the most stable of them. <two>.


<one>
First-principles (PBE) data for a relaxed Nb3FePd crystal, as listed in Alexandria.

Output
DOS at the Fermi energy in states/eV/atom: 2.24

Cell lengths 4.789, 4.789, 4.789 Å; angles 90.00, 90.00, 90.00 degrees
Fractional positions:
Nb 0.000 0.500 0.000
Nb 0.500 0.000 0.000
Nb 0.000 0.000 0.500
Pd 0.000 0.000 0.000
Fe 0.500 0.500 0.500


<two>
First-principles (PBE) data for a relaxed Nb3FePd crystal, as listed in Alexandria.

Output
DOS at the Fermi energy in states/eV/atom: 1.18

Cell lengths 4.555, 4.555, 4.555 Å; angles 90.00, 90.00, 90.00 degrees
Fractional positions:
Pd 0.500 0.500 0.500
Nb 0.000 0.500 0.000
Nb 0.000 0.000 0.500
Nb 0.500 0.000 0.000
Fe 0.000 0.000 0.000


Name the most stable of them. <two>.


<one>
First-principles (PBE) data for a relaxed NbFe2Pd crystal, as listed in Alexandria.

Output
DOS at the Fermi energy in states/eV/atom: 1.53

Cell lengths 3.726, 3.726, 9.080 Å; angles 78.16, 78.16, 90.00 degrees
Fractional positions:
Nb 0.250 0.750 0.500
Nb 0.500 0.500 0.000
Fe 0.375 0.304 0.750
Fe 0.875 0.946 0.750
Fe 0.054 0.625 0.250
Fe 0.696 0.125 0.250
Pd 0.750 0.250 0.500
Pd 0.000 0.000 0.000


<two>
First-principles (PBE) data for a relaxed NbFe2Pd crystal, as listed in Alexandria.

Output
DOS at the Fermi energy in states/eV/atom: 0.91

Cell lengths 3.703, 3.869, 3.869 Å; angles 90.00, 90.00, 90.00 degrees
Each line ends with the local moment (μB).
Fractional positions:
Nb 0.500 0.500 0.500  -0.82
Fe 0.000 0.500 0.000  1.86
Fe 0.000 0.000 0.500  1.86
Pd 0.500 0.000 0.000  0.00


Name the most stable of them. <two>.


<one>
First-principles (PBE) data for a relaxed NbFe2Pt2 crystal, as listed in Alexandria.

Output
DOS at the Fermi energy in states/eV/atom: 1.06

Cell lengths 6.409, 6.409, 3.479 Å; angles 90.00, 90.00, 90.00 degrees
Fractional positions:
Pt 0.165 0.665 0.500
Pt 0.335 0.165 0.500
Pt 0.665 0.835 0.500
Pt 0.835 0.335 0.500
Nb 0.500 0.500 0.000
Nb 0.000 0.000 0.000
Fe 0.128 0.372 0.000
Fe 0.872 0.628 0.000
Fe 0.628 0.128 0.000
Fe 0.372 0.872 0.000


<two>
First-principles (PBE) data for a relaxed NbFe2Pt2 crystal, as listed in Alexandria.

Output
DOS at the Fermi energy in states/eV/atom: 0.86

Cell lengths 4.353, 6.723, 5.122 Å; angles 139.64, 115.15, 90.00 degrees
Each line ends with the local moment (μB).
Fractional positions:
Pt 0.425 0.213 0.851  0.20
Pt 0.575 0.787 0.149  0.20
Nb 0.000 0.000 0.000  -0.56
Fe 0.180 0.591 0.360  2.70
Fe 0.820 0.409 0.640  2.70


Name the most stable of them. <two>.


<one>
First-principles (PBE) data for a relaxed Nb3Fe8Pt crystal, as listed in Alexandria.

Output
DOS at the Fermi energy in states/eV/atom: 0.97

Cell lengths 4.803, 4.803, 8.313 Å; angles 73.21, 73.21, 60.00 degrees
Each line ends with the local moment (μB).
Fractional positions:
Fe 0.437 0.437 0.185  1.65
Fe 0.938 0.938 0.688  1.70
Fe 0.688 0.688 0.936  1.76
Fe 0.940 0.437 0.185  1.65
Fe 0.437 0.940 0.185  1.65
Fe 0.437 0.938 0.688  1.70
Fe 0.187 0.187 0.439  1.88
Fe 0.938 0.437 0.688  1.70
Nb 0.377 0.377 0.870  -0.47
Nb 0.503 0.503 0.491  -0.56
Nb 0.995 0.995 0.014  -0.52
Pt 0.874 0.874 0.379  0.14


<two>
First-principles (PBE) data for a relaxed Nb3Fe8Pt crystal, as listed in Alexandria.

Output
DOS at the Fermi energy in states/eV/atom: 1.21

Cell lengths 4.777, 4.777, 7.827 Å; angles 90.00, 90.00, 120.00 degrees
Each line ends with the local moment (μB).
Fractional positions:
Fe 0.501 0.002 0.752  1.52
Fe 0.164 0.328 0.249  1.41
Fe 0.501 0.499 0.752  1.52
Fe 0.998 0.499 0.752  1.52
Fe 0.164 0.836 0.249  1.41
Fe 0.672 0.836 0.249  1.41
Fe 0.333 0.667 0.003  0.82
Fe 0.333 0.667 0.498  1.51
Nb 0.667 0.333 0.444  -0.48
Nb 0.000 0.000 0.923  -0.53
Nb 0.667 0.333 0.068  -0.43
Pt 0.000 0.000 0.560  0.12


Name the most stable of them. <one>.


<one>
First-principles (PBE) data for a relaxed Nb3FePt crystal, as listed in Alexandria.

Output
DOS at the Fermi energy in states/eV/atom: 2.22

Cell lengths 4.848, 4.848, 4.848 Å; angles 90.00, 90.00, 90.00 degrees
Each line ends with the local moment (μB).
Fractional positions:
Pt 0.000 0.000 0.000  0.00
Nb 0.000 0.000 0.500  0.11
Nb 0.500 0.000 0.000  0.06
Nb 0.000 0.500 0.000  0.13
Fe 0.500 0.500 0.500  -0.15


<two>
First-principles (PBE) data for a relaxed Nb3FePt crystal, as listed in Alexandria.

Output
DOS at the Fermi energy in states/eV/atom: 1.11

Cell lengths 4.531, 4.531, 4.531 Å; angles 90.00, 90.00, 90.00 degrees
Fractional positions:
Nb 0.500 0.000 0.000
Nb 0.000 0.500 0.000
Nb 0.000 0.000 0.500
Fe 0.000 0.000 0.000
Pt 0.500 0.500 0.500


Name the most stable of them. <two>.


<one>
First-principles (PBE) data for a relaxed Nb2FePt crystal, as listed in Alexandria.

Output
DOS at the Fermi energy in states/eV/atom: 1.22

Cell lengths 7.003, 7.003, 5.640 Å; angles 51.62, 51.62, 90.00 degrees
Fractional positions:
Nb 0.875 0.843 0.750
Nb 0.593 0.125 0.250
Nb 0.157 0.625 0.250
Nb 0.375 0.407 0.750
Pt 0.000 0.000 0.000
Pt 0.750 0.250 0.500
Fe 0.250 0.750 0.500
Fe 0.500 0.500 0.000


<two>
First-principles (PBE) data for a relaxed Nb2FePt crystal, as listed in Alexandria.

Output
DOS at the Fermi energy in states/eV/atom: 0.61

Cell lengths 2.856, 2.856, 7.568 Å; angles 90.00, 90.00, 90.00 degrees
Fractional positions:
Nb 0.000 0.000 0.776
Nb 0.000 0.000 0.224
Pt 0.500 0.500 0.500
Fe 0.500 0.500 0.000


Name the most stable of them. <two>.


<one>
First-principles (PBE) data for a relaxed Nb2FePt crystal, as listed in Alexandria.

Output
DOS at the Fermi energy in states/eV/atom: 1.49

Cell lengths 4.508, 4.508, 4.508 Å; angles 60.00, 60.00, 60.00 degrees
Each line ends with the local moment (μB).
Fractional positions:
Fe 0.000 0.000 0.000  2.00
Nb 0.750 0.750 0.750  -0.23
Nb 0.250 0.250 0.250  -0.23
Pt 0.500 0.500 0.500  -0.04


<two>
First-principles (PBE) data for a relaxed Nb2FePt crystal, as listed in Alexandria.

Output
DOS at the Fermi energy in states/eV/atom: 1.11

Cell lengths 4.018, 3.960, 3.960 Å; angles 90.00, 90.00, 90.00 degrees
Each line ends with the local moment (μB).
Fractional positions:
Fe 0.500 0.000 0.000  1.85
Pt 0.500 0.500 0.500  -0.05
Nb 0.000 0.000 0.500  -0.20
Nb 0.000 0.500 0.000  -0.20


Name the most stable of them. <two>.


<one>
First-principles (PBE) data for a relaxed PuNb2Fe crystal, as listed in Alexandria.

Output
DOS at the Fermi energy in states/eV/atom: 2.38

Cell lengths 2.919, 2.919, 10.112 Å; angles 81.70, 81.70, 60.00 degrees
Each line ends with the local moment (μB).
Fractional positions:
Nb 0.098 0.098 0.707  -0.13
Nb 0.902 0.902 0.293  -0.13
Pu 0.000 0.000 0.000  4.73
Fe 0.500 0.500 0.500  1.90


<two>
First-principles (PBE) data for a relaxed PuNb2Fe crystal, as listed in Alexandria.

Output
DOS at the Fermi energy in states/eV/atom: 1.67

Cell lengths 3.074, 3.074, 7.590 Å; angles 90.00, 90.00, 90.00 degrees
Each line ends with the local moment (μB).
Fractional positions:
Pu 0.500 0.500 0.500  4.94
Fe 0.500 0.500 0.000  1.31
Nb 0.000 0.000 0.798  -0.24
Nb 0.000 0.000 0.202  -0.24


Name the most stable of them. <two>.


<one>
First-principles (PBE) data for a relaxed RbNb2Fe2 crystal, as listed in Alexandria.

Output
DOS at the Fermi energy in states/eV/atom: 0.77

Cell lengths 7.963, 7.963, 2.941 Å; angles 90.00, 90.00, 90.00 degrees
Fractional positions:
Fe 0.125 0.625 0.500
Fe 0.875 0.375 0.500
Fe 0.375 0.125 0.500
Fe 0.625 0.875 0.500
Nb 0.634 0.134 0.000
Nb 0.134 0.366 0.000
Nb 0.366 0.866 0.000
Nb 0.866 0.634 0.000
Rb 0.500 0.500 0.000
Rb 0.000 0.000 0.000


<two>
First-principles (PBE) data for a relaxed RbNb2Fe2 crystal, as listed in Alexandria.

Output
DOS at the Fermi energy in states/eV/atom: 1.21

Cell lengths 4.171, 4.171, 7.600 Å; angles 74.07, 74.07, 90.00 degrees
Fractional positions:
Rb 0.000 0.000 0.000
Nb 0.750 0.250 0.500
Nb 0.250 0.750 0.500
Fe 0.343 0.343 0.314
Fe 0.657 0.657 0.686


<three>
First-principles (PBE) data for a relaxed RbNb2Fe2 crystal, as listed in Alexandria.

Output
DOS at the Fermi energy in states/eV/atom: 0.66

Cell lengths 8.017, 8.017, 2.960 Å; angles 90.00, 90.00, 90.00 degrees
Fractional positions:
Fe 0.877 0.623 0.000
Fe 0.377 0.877 0.000
Fe 0.623 0.123 0.000
Fe 0.123 0.377 0.000
Nb 0.633 0.867 0.500
Nb 0.367 0.133 0.500
Nb 0.133 0.633 0.500
Nb 0.867 0.367 0.500
Rb 0.000 0.000 0.000
Rb 0.500 0.500 0.000


<four>
First-principles (PBE) data for a relaxed RbNb2Fe2 crystal, as listed in Alexandria.

Output
DOS at the Fermi energy in states/eV/atom: 1.74

Cell lengths 3.638, 3.638, 10.094 Å; angles 79.62, 79.62, 90.00 degrees
Fractional positions:
Fe 0.250 0.750 0.500
Fe 0.750 0.250 0.500
Nb 0.330 0.330 0.340
Nb 0.670 0.670 0.660
Rb 0.000 0.000 0.000


Name the most stable of them. <two>.


<one>
First-principles (PBE) data for a relaxed RbNbFe3 crystal, as listed in Alexandria.

Output
DOS at the Fermi energy in states/eV/atom: 1.06

Cell lengths 4.896, 4.896, 4.896 Å; angles 90.00, 90.00, 90.00 degrees
Each line ends with the local moment (μB).
Fractional positions:
Rb 0.500 0.500 0.500  0.00
Fe 0.000 0.500 0.000  2.75
Fe 0.500 0.000 0.000  2.28
Fe 0.000 0.000 0.500  2.77
Nb 0.000 0.000 0.000  -1.13


<two>
First-principles (PBE) data for a relaxed RbNbFe3 crystal, as listed in Alexandria.

Output
DOS at the Fermi energy in states/eV/atom: 1.96

Cell lengths 4.351, 4.351, 4.351 Å; angles 90.00, 90.00, 90.00 degrees
Fractional positions:
Rb 0.000 0.000 0.000
Fe 0.000 0.000 0.500
Fe 0.500 0.000 0.000
Fe 0.000 0.500 0.000
Nb 0.500 0.500 0.500


Name the most stable of them. <one>.


<one>
First-principles (PBE) data for a relaxed Nb3Fe8Re crystal, as listed in Alexandria.

Output
DOS at the Fermi energy in states/eV/atom: 1.36

Cell lengths 4.789, 4.789, 8.300 Å; angles 73.23, 73.23, 60.00 degrees
Each line ends with the local moment (μB).
Fractional positions:
Re 0.873 0.873 0.380  0.15
Fe 0.437 0.940 0.187  1.47
Fe 0.437 0.437 0.187  1.47
Fe 0.437 0.938 0.687  1.65
Fe 0.938 0.938 0.687  1.65
Fe 0.938 0.437 0.687  1.65
Fe 0.687 0.687 0.938  1.58
Fe 0.188 0.188 0.436  1.73
Fe 0.940 0.437 0.187  1.47
Nb 0.504 0.504 0.488  -0.25
Nb 0.995 0.995 0.015  -0.33
Nb 0.376 0.376 0.871  -0.45


<two>
First-principles (PBE) data for a relaxed Nb3Fe8Re crystal, as listed in Alexandria.

Output
DOS at the Fermi energy in states/eV/atom: 1.31

Cell lengths 4.752, 4.752, 7.850 Å; angles 90.00, 90.00, 120.00 degrees
Each line ends with the local moment (μB).
Fractional positions:
Fe 0.163 0.326 0.250  1.23
Fe 0.996 0.498 0.749  1.31
Fe 0.163 0.837 0.250  1.23
Fe 0.333 0.667 0.499  -1.74
Fe 0.674 0.837 0.250  1.23
Fe 0.502 0.498 0.749  1.31
Fe 0.502 0.004 0.749  1.31
Fe 0.333 0.667 0.001  1.14
Nb 0.667 0.333 0.070  -0.31
Nb 0.667 0.333 0.445  -0.12
Nb 0.000 0.000 0.923  -0.27
Re 0.000 0.000 0.562  0.03


Name the most stable of them. <two>.